[1]
## Sc3AgN (meta-GGA SCAN)

Data for a crystal of Sc3AgN relaxed with PBEsol.

```
Sc3AgN
1.0
4.386 0.000 0.000
0.000 4.386 0.000
0.000 0.000 4.386
Ag Sc N
1 3 1
Cartesian
2.193 2.193 2.193
0.000 2.193 0.000
2.193 0.000 0.000
0.000 0.000 2.193
0.000 0.000 0.000
```

- energy above the most stable polymorph in this dataset (eV/f.u.) = 0.17
- SG = Pm-3m
- E_form (uncorrected) (eV per atom) = -1.07


[2]
## MgTaAl3 (meta-GGA SCAN)

Data for a crystal of MgTaAl3 relaxed with PBEsol.

```
MgTaAl3
1.0
-0.089 -4.834 -1.178
3.837 0.683 -3.095
3.168 -0.964 3.715
Mg Al Ta
1 3 1
Cartesian
3.458 -2.557 -0.279
-0.045 -2.417 -0.589
1.918 0.342 -1.547
1.584 -0.482 1.857
0.000 0.000 0.000
```

- SG = Pm-3m
- energy of formation (meV/atom) = 761


[3]
## Nb2AlPOs (meta-GGA SCAN)

Data for a crystal of Nb2AlPOs relaxed with PBEsol.

```
Nb2AlPOs
1.0
-3.696 -2.424 -1.106
2.713 -2.871 -2.773
0.779 -2.908 3.772
Nb P Al Os
2 1 1 1
Cartesian
1.356 -1.435 -1.387
0.389 -1.454 1.886
-0.102 -4.101 -0.053
-1.848 -1.212 -0.553
0.000 0.000 0.000
```

- SG = P4/mmm
- energy of formation (meV/atom) = 806


[4]
## TaCo4Ni (meta-GGA SCAN)

Data for a crystal of TaCo4Ni relaxed with PBEsol.

```
TaCo4Ni
1.0
4.583 0.000 0.000
2.292 3.969 0.000
2.292 1.323 3.742
Co Ni Ta
4 1 1
Cartesian
3.446 3.303 2.335
4.583 1.333 2.335
4.583 2.646 0.478
5.720 3.303 2.335
2.292 1.323 0.936
0.000 0.000 0.000
```

- SG = F-43m
- energy of formation (meV/atom) = -8


[5]
## Sr2HgBr (meta-GGA SCAN)

Data for a crystal of Sr2HgBr relaxed with PBEsol.

```
Sr2HgBr
1.0
-1.104 -0.953 4.077
-3.870 -1.750 0.842
1.576 -8.482 0.744
Hg Sr Br
1 2 1
Cartesian
0.000 0.000 0.000
-2.518 -8.460 4.240
-0.880 -2.725 1.424
-1.699 -5.592 2.832
```

- energy above the most stable polymorph in this dataset (eV/f.u.) = 0.00
- SG = R-3m
- E_form (uncorrected) (eV per atom) = -1.19


[6]
## Tl4CdCl (meta-GGA SCAN)

Data for a crystal of Tl4CdCl relaxed with PBEsol.

```
Tl4CdCl
1.0
-2.196 -0.104 5.869
-3.597 -4.761 1.916
2.242 -4.165 4.111
Cl Tl Cd
1 4 1
Cartesian
0.000 0.000 0.000
-3.130 -5.767 5.419
-2.429 -3.438 7.396
-1.331 -3.386 4.461
-0.210 -5.469 6.517
-2.663 -6.772 8.922
```

- SG = F-43m
- E_form (uncorrected) (eV per atom) = -0.05


[7]
## CrCo3Bi (meta-GGA SCAN)

Data for a crystal of CrCo3Bi relaxed with PBEsol.

```
CrCo3Bi
1.0
4.227 0.000 0.000
0.000 4.227 0.000
0.000 0.000 4.227
Co Bi Cr
3 1 1
Cartesian
0.000 0.000 2.113
2.113 0.000 0.000
0.000 2.113 0.000
2.113 2.113 2.113
0.000 0.000 0.000
```

- SG = Pm-3m
- energy of formation (meV/atom) = 1222


[8]
## CaNiMo2 (meta-GGA SCAN)

Data for a crystal of CaNiMo2 relaxed with PBEsol.

```
CaNiMo2
1.0
-2.646 -0.030 -0.270
0.560 -1.912 -1.762
-0.599 -6.222 6.561
Mo Ca Ni
2 1 1
Cartesian
-0.423 -4.392 4.631
-0.176 -1.830 1.930
-1.043 -0.971 -1.016
-1.342 -4.082 2.264
```

- energy above the most stable polymorph in this dataset (eV/f.u.) = 0.44
- SG = Cmmm
- energy of formation (meV/atom) = 588


[9]
## Sm11Fe12C18 (meta-GGA SCAN)

Data for a crystal of Sm11Fe12C18 relaxed with PBEsol.

```
Sm11Fe12C18
1.0
-1.605 8.646 -0.928
1.352 -3.617 -7.955
-6.938 -3.888 3.865
Fe Sm C
12 11 18
Cartesian
-0.309 2.397 -1.920
-1.962 2.343 0.436
-4.328 0.009 -4.793
0.168 0.419 -3.054
-4.732 -4.614 -3.425
-0.895 -2.079 -2.099
-4.918 2.453 -3.393
-6.623 3.226 1.068
-5.980 -0.045 -2.438
-2.233 -2.123 -0.191
-2.822 0.321 1.209
-1.322 3.400 -6.489
-4.929 -2.563 -1.311
-2.911 0.462 -2.031
-4.335 3.636 -0.752
0.805 -2.153 -4.734
-2.856 -2.495 -4.266
-0.955 5.146 -0.552
0.000 0.000 0.000
-1.523 0.638 -5.464
-4.129 -2.314 2.300
-5.668 0.503 0.446
-2.262 3.704 -3.707
-4.733 -0.960 -3.342
-3.334 5.731 0.407
-3.522 -0.919 0.122
-1.066 -0.839 -3.380
-0.109 2.162 -3.819
-0.144 2.867 -5.063
-3.673 2.046 1.263
-1.942 2.795 -1.298
0.601 -0.317 -6.607
-0.877 5.811 -3.095
-0.979 -4.031 -5.188
-5.999 -0.533 2.802
-5.123 -4.167 0.720
-3.646 1.596 -4.319
-5.336 1.541 -1.909
-4.870 2.712 1.674
-2.402 -3.227 -1.759
-3.184 -4.278 -2.331
```

- SG = I-43m
- energy of formation (meV/atom) = -251


[10]
## RbHgMo2Ru (meta-GGA SCAN)

Data for a crystal of RbHgMo2Ru relaxed with PBEsol.

```
RbHgMo2Ru
1.0
4.586 0.000 0.000
0.000 4.644 0.000
0.000 0.000 4.644
Hg Mo Ru Rb
1 2 1 1
Cartesian
2.293 2.322 2.322
0.000 2.322 0.000
0.000 0.000 2.322
2.293 0.000 0.000
0.000 0.000 0.000
```

- SG = P4/mmm
- energy of formation (meV/atom) = 3269


[11]
## TaHg4Te (meta-GGA SCAN)

Data for a crystal of TaHg4Te relaxed with PBEsol.

```
TaHg4Te
1.0
-3.492 1.847 -4.144
1.069 -1.354 -5.459
-3.392 -3.704 -2.748
Ta Hg Te
1 4 1
Cartesian
-4.361 -2.408 -9.264
-1.651 -1.880 -7.356
-3.922 -0.286 -6.702
-2.184 -1.206 -4.639
-3.872 -3.050 -6.007
0.000 0.000 0.000
```

- SG = F-43m
- E_form (uncorrected) (eV per atom) = 0.80


[12]
## Ba2SiCl (meta-GGA SCAN)

Data for a crystal of Ba2SiCl relaxed with PBEsol.

```
Ba2SiCl
1.0
-3.431 1.603 -0.002
-0.199 -0.420 3.759
3.522 7.538 1.028
Si Cl Ba
1 1 2
Cartesian
-0.054 4.361 2.392
-1.815 0.592 1.878
2.597 5.558 0.758
0.925 1.980 0.270
```

- SG = P4/mmm
- E_form (uncorrected) (eV per atom) = -1.18